! Pm3CdPd2 PBE relaxed; values from VASP
&SYSTEM
  ibrav = 0, nat = 6, ntyp = 3
/
ATOMIC_SPECIES
Pm 145.00 Pm.upf
Cd 112.41 Cd.upf
Pd 106.42 Pd.upf
CELL_PARAMETERS angstrom
3.566 0.000 0.000
0.000 3.566 0.000
0.000 0.000 11.751
ATOMIC_POSITIONS angstrom
Pm 0.000 0.000 0.000
Pm 0.000 0.000 3.647
Pm 0.000 0.000 8.105
Cd 1.783 1.783 5.876
Pd 1.783 1.783 1.866
Pd 1.783 1.783 9.885
! Space-group type: P4/mmm
! Spin magnetization, μB per cell: 0.000
! ΔH_f (0 K), eV/atom: -0.61